1.
DFT (GGA-PBE) results for RbBePd3 after structural relaxation.

## Properties
E   -4.0205 eV per atom
Size of the total moment   0.000 μB/cell
Energy above the lowest structure with this stoichiometry   0.000 eV/atom

a b c (Å): 4.5184 4.5184 4.5184
angles (deg): 90.00 90.00 90.00
Fractional coordinates of all 5 atoms:
1 Be 0.0000 0.0000 0.0000
2 Rb 0.5000 0.5000 0.5000
3 Pd 0.0000 0.5000 0.0000
4 Pd 0.0000 0.0000 0.5000
5 Pd 0.5000 0.0000 0.0000

2.
DFT (GGA-PBE) results for Dy3YEr after structural relaxation.

## Properties
E   -4.6527 eV per atom
Size of the total moment   0.002 μB/cell
Energy above the lowest structure with this stoichiometry   0.311 eV/atom

a b c (Å): 3.5967 8.5133 11.4928
angles (deg): 90.00 90.00 102.15
Fractional coordinates of all 10 atoms:
1 Dy 0.8465 0.1941 0.0004
2 Dy 0.1535 0.8059 0.9996
3 Dy 0.8465 0.1941 0.4996
4 Dy 0.1535 0.8059 0.5004
5 Dy 0.6820 0.8646 0.2500
6 Dy 0.3180 0.1354 0.7500
7 Y 0.0074 0.5182 0.2500
8 Y 0.9926 0.4818 0.7500
9 Er 0.3399 0.1817 0.2500
10 Er 0.6601 0.8183 0.7500

3.
DFT (GGA-PBE) results for RbRe2PbO8 after structural relaxation.

## Properties
E   -7.3812 eV per atom
Formation energy from raw total energies   -1866 kJ/mol of formula units
Size of the total moment   0.940 μB/cell

a b c (Å): 6.1506 6.1506 8.3515
angles (deg): 90.00 90.00 120.00
Fractional coordinates of all 12 atoms:
1 Rb 0.0000 0.0000 0.0000
2 Re 0.6667 0.3333 0.2228
3 Re 0.3333 0.6667 0.7772
4 Pb 0.0000 0.0000 0.5000
5 O 0.3333 0.6667 0.9874
6 O 0.3507 0.1731 0.2931
7 O 0.8269 0.1776 0.2931
8 O 0.6667 0.3333 0.0126
9 O 0.1731 0.8224 0.7069
10 O 0.6493 0.8269 0.7069
11 O 0.1776 0.3507 0.7069
12 O 0.8224 0.6493 0.2931

4.
DFT (GGA-PBE) results for Ce2PrCu4 after structural relaxation.

## Properties
E   -4.8355 eV per atom
Size of the total moment   0.000 μB/cell

a b c (Å): 4.2922 4.2922 9.1955
angles (deg): 76.50 76.50 60.00
Fractional coordinates of all 7 atoms:
1 Pr 0.0000 0.0000 0.0000
2 Cu 0.5921 0.5921 0.2238
3 Cu 0.7426 0.7426 0.7723
4 Cu 0.2574 0.2574 0.2277
5 Cu 0.4079 0.4079 0.7762
6 Ce 0.8617 0.8617 0.4149
7 Ce 0.1383 0.1383 0.5851